1.
K2In15Sn2 | GGA-PBE | optimized geometry

Formation enthalpy at 0 K ... -2.2 kJ per mole of atoms
Fermi-level density of states ... 9.535 states/eV/cell
Calculated volume ... 565.0 Å³ per cell
Total DFT energy (no corrections) ... -2.722 eV/atom

Lattice parameters (Å, degrees): 8.3354 8.3354 8.3354 82.37 82.37 82.37
With the nearest neighbours (Å) after each atom.
Atoms (fractional coordinates):
1 K 0.1616 0.1616 0.1616  18 In 3.84-4.26, 1 Sn 3.91
2 K 0.8384 0.8384 0.8384  18 In 3.84-4.26, 1 Sn 3.91
3 In 0.0000 0.5000 0.5000  8 In 3.18-3.23, 2 Sn 3.36
4 In 0.1416 0.1416 0.6562  8 In 3.15-3.47
5 In 0.1416 0.6562 0.1416  8 In 3.15-3.47
6 In 0.2034 0.5000 0.7966  8 In 3.18-3.47
7 In 0.2034 0.7966 0.5000  8 In 3.18-3.47
8 In 0.3438 0.8584 0.8584  8 In 3.15-3.47
9 In 0.5000 0.0000 0.5000  8 In 3.18-3.23, 2 Sn 3.36
10 In 0.5000 0.2034 0.7966  8 In 3.18-3.47
11 In 0.5000 0.5000 0.0000  8 In 3.18-3.23, 2 Sn 3.36
12 In 0.5000 0.7966 0.2034  8 In 3.18-3.47
13 In 0.6562 0.1416 0.1416  8 In 3.15-3.47
14 In 0.7966 0.2034 0.5000  8 In 3.18-3.47
15 In 0.7966 0.5000 0.2034  8 In 3.18-3.47
16 In 0.8584 0.3438 0.8584  8 In 3.15-3.47
17 In 0.8584 0.8584 0.3438  8 In 3.15-3.47
18 Sn 0.4023 0.4023 0.4023  1 Sn 3.17, 3 In 3.36
19 Sn 0.5977 0.5977 0.5977  1 Sn 3.17, 3 In 3.36


2.
Sr2CaUO6 | GGA-PBE | optimized geometry

Fermi-level density of states ... 0.000 states/eV/cell
Calculated volume ... 312.5 Å³ per cell
Total DFT energy (no corrections) ... -7.798 eV/atom
Energy relative to the elements, uncorrected ... -3157.9 meV/atom

Lattice parameters (Å, degrees): 5.9730 6.1333 10.3920 90.00 124.83 90.00
With the nearest neighbours (Å) after each atom.
Atoms (fractional coordinates):
1 Sr 0.2339 0.0474 0.2470  5 O 2.51-2.78
2 Sr 0.2339 0.4526 0.7470  5 O 2.51-2.78
3 Sr 0.7661 0.5474 0.2530  5 O 2.51-2.78
4 Sr 0.7661 0.9526 0.7530  5 O 2.51-2.78
5 Ca 0.0000 0.0000 0.5000  6 O 2.35-2.37
6 Ca 0.0000 0.5000 0.0000  6 O 2.35-2.37
7 U 0.5000 0.0000 0.0000  6 O 2.09-2.11
8 U 0.5000 0.5000 0.5000  6 O 2.09-2.11
9 O 0.1683 0.1886 0.9510  1 U 2.09
10 O 0.1683 0.3114 0.4510  1 U 2.09
11 O 0.2517 0.7211 0.9381  1 U 2.11
12 O 0.2517 0.7789 0.4381  1 U 2.11
13 O 0.3703 0.0438 0.7664  1 U 2.10
14 O 0.3703 0.4562 0.2664  1 U 2.10
15 O 0.6297 0.5438 0.7336  1 U 2.10
16 O 0.6297 0.9562 0.2336  1 U 2.10
17 O 0.7483 0.2211 0.5619  1 U 2.11
18 O 0.7483 0.2789 0.0619  1 U 2.11
19 O 0.8317 0.6886 0.5490  1 U 2.09
20 O 0.8317 0.8114 0.0490  1 U 2.09


3.
Ba4Sb2O | GGA-PBE | optimized geometry

Energy above the lowest structure with this stoichiometry ... 35 meV per atom
Calculated volume ... 559.9 Å³ per cell
Total DFT energy (no corrections) ... -4.447 eV/atom
Energy relative to the elements, uncorrected ... -1461.7 meV/atom

Lattice parameters (Å, degrees): 7.5489 7.7020 10.2543 90.00 110.11 90.00
With the nearest neighbours (Å) after each atom.
Atoms (fractional coordinates):
1 Ba 0.0020 0.0053 0.2637  1 O 2.46
2 Ba 0.0020 0.4947 0.2637  1 O 2.46
3 Ba 0.3878 0.7500 0.0591  1 O 2.56
4 Ba 0.4296 0.7500 0.6467  1 O 2.54
5 Ba 0.5704 0.2500 0.3533  1 O 2.54
6 Ba 0.6122 0.2500 0.9409  1 O 2.56
7 Ba 0.9980 0.5053 0.7363  1 O 2.46
8 Ba 0.9980 0.9947 0.7363  1 O 2.46
9 Sb 0.2036 0.2500 0.0423  6 Ba 3.43-3.66
10 Sb 0.2873 0.2500 0.5782  8 Ba 3.64-3.99
11 Sb 0.7127 0.7500 0.4218  8 Ba 3.64-3.99
12 Sb 0.7964 0.7500 0.9577  6 Ba 3.43-3.66
13 O 0.2210 0.7500 0.7953  4 Ba 2.46-2.56
14 O 0.7790 0.2500 0.2047  4 Ba 2.46-2.56